[1]
DFT (PBE) results for a relaxed BaZr2Sb crystal.

Results
**N(E_F)**: 1.1184 states/eV/atom
**Crystal system**: tetragonal
**Theoretical density**: 6.95 g/cm³
**VASP energy**: -5.682 eV per atom
**Size of the total moment**: 0.00 Bohr magnetons per cell

Structure (CIF):
```
data_BaZr2Sb
_chemical_formula_sum 'Ba1 Zr2 Sb1'
_symmetry_space_group_name_H-M 'P 4/m m m'
_symmetry_Int_Tables_number 123
_symmetry_space_group_name_Hall '-P 4 2'
_cell_length_a 4.8391
_cell_length_b 4.8391
_cell_length_c 4.5028
_cell_angle_alpha 90.00
_cell_angle_beta 90.00
_cell_angle_gamma 90.00
loop_
_atom_site_label
_atom_site_type_symbol
_atom_site_fract_x
_atom_site_fract_y
_atom_site_fract_z
Ba1 Ba 0.0000 0.0000 0.0000
Zr1 Zr 0.0000 0.5000 0.5000
Sb1 Sb 0.5000 0.5000 0.0000
```

=====

[2]
DFT (PBE) results for a relaxed Pr4DyTm8 crystal.

Results
**N(E_F)**: 1.7216 states/eV/atom
**Crystal system**: trigonal
**Formation enthalpy at 0 K**: 0.531 eV/atom
**Theoretical density**: 7.33 g/cm³
**Size of the total moment**: 7.58 Bohr magnetons per cell

Structure (CIF):
```
data_Pr4DyTm8
_chemical_formula_sum 'Pr12 Dy3 Tm24'
_symmetry_space_group_name_H-M 'R -3 m'
_symmetry_Int_Tables_number 166
_symmetry_space_group_name_Hall '-R 3 2"'
_cell_length_a 11.0167
_cell_length_b 11.0167
_cell_length_c 13.4427
_cell_angle_alpha 90.00
_cell_angle_beta 90.00
_cell_angle_gamma 120.00
loop_
_atom_site_label
_atom_site_type_symbol
_atom_site_fract_x
_atom_site_fract_y
_atom_site_fract_z
Pr1 Pr 0.0000 0.0000 0.0000
Pr2 Pr 0.0000 0.5000 0.0000
Dy1 Dy 0.0000 0.0000 0.5000
Tm1 Tm 0.0000 0.0000 0.2404
Tm2 Tm 0.0125 0.5062 0.7460
```

=====

[3]
DFT (PBE) results for a relaxed Tl3PdRu crystal.

Results
**N(E_F)**: 0.7710 states/eV/atom
**Crystal system**: cubic
**Formation enthalpy at 0 K**: 0.569 eV/atom
**Theoretical density**: 9.62 g/cm³
**Polymorph energy (0 for the lowest one)**: 0 meV/atom
**Size of the total moment**: 0.00 Bohr magnetons per cell

Structure (CIF):
```
data_Tl3PdRu
_chemical_formula_sum 'Tl3 Pd1 Ru1'
_symmetry_space_group_name_H-M 'P m -3 m'
_symmetry_Int_Tables_number 221
_symmetry_space_group_name_Hall '-P 4 2 3'
_cell_length_a 5.2136
_cell_length_b 5.2136
_cell_length_c 5.2136
_cell_angle_alpha 90.00
_cell_angle_beta 90.00
_cell_angle_gamma 90.00
loop_
_atom_site_label
_atom_site_type_symbol
_atom_site_fract_x
_atom_site_fract_y
_atom_site_fract_z
Tl1 Tl 0.0000 0.0000 0.5000
Pd1 Pd 0.5000 0.5000 0.5000
Ru1 Ru 0.0000 0.0000 0.0000
```